The following is a GGA-PBE calculation of a relaxed Pr2Sm3Sc2 crystal, from Alexandria.

Cell: 3.5139 3.5276 18.1992 Å, 90.00 95.54 90.00°
Fractional coordinates of all 7 atoms:
Pr (0.2938, 0.5000, 0.5876)
Pr (0.7062, 0.5000, 0.4124)
Sm (0.4273, 0.5000, 0.8545)
Sm (0.5727, 0.5000, 0.1455)
Sm (0.0000, 0.0000, 0.0000)
Sc (0.1387, 0.0000, 0.2774)
Sc (0.8613, 0.0000, 0.7226)

As for the polymorph energy (0 for the lowest one): 0.051 eV/atom. The value obtained for the energy of formation is 0.10 eV/atom. Its spin magnetization is 0.00 μB per cell.


The following is a GGA-PBE calculation of a relaxed La2PrGe4Pt3 crystal, from Alexandria.

Cell: 4.4050 4.4050 11.4256 Å, 90.00 90.00 90.00°
Fractional coordinates of all 10 atoms:
La (0.5000, 0.0000, 0.2247)
La (0.0000, 0.5000, 0.7753)
Pr (0.5000, 0.5000, 0.5000)
Ge (0.5000, 0.5000, 0.0000)
Ge (0.0000, 0.0000, 0.0000)
Ge (0.5000, 0.0000, 0.6707)
Ge (0.0000, 0.5000, 0.3293)
Pt (0.0000, 0.0000, 0.5000)
Pt (0.5000, 0.0000, 0.8883)
Pt (0.0000, 0.5000, 0.1117)

The value obtained for the energy of formation is -0.90 eV/atom. Its spin magnetization is 0.00 μB per cell.


The following is a GGA-PBE calculation of a relaxed LiSc2As crystal, from Alexandria.

Cell: 4.4193 4.4193 3.7976 Å, 90.00 90.00 89.99°
Fractional coordinates of all 4 atoms:
As (0.5000, 0.0000, 0.5000)
Li (0.0000, 0.5000, 0.5000)
Sc (0.0000, 0.0000, 0.0000)
Sc (0.5000, 0.5000, 0.0000)

The value obtained for the energy of formation is -0.57 eV/atom. Its spin magnetization is 0.01 μB per cell.


The following is a GGA-PBE calculation of a relaxed LiSm2Mn crystal, from Alexandria.

Cell: 3.5549 3.5549 8.0668 Å, 90.00 90.00 90.00°
Each line ends with the local moment (μB).
Fractional coordinates of all 4 atoms:
Mn (0.5000, 0.5000, 0.5000)  3.27
Sm (0.0000, 0.0000, 0.7185)  -0.24
Sm (0.0000, 0.0000, 0.2815)  -0.24
Li (0.5000, 0.5000, 0.0000)  0.00

As for the polymorph energy (0 for the lowest one): 0.000 eV/atom. The value obtained for the energy of formation is 0.15 eV/atom. Its spin magnetization is 2.61 μB per cell.


| no. | DOS(E_F) (states/eV/f.u.) |
| --- | --- |
| 1 | 12.5 |
| 2 | 4.3 |
| 3 | 3.7 |
| 4 | 4.1 |